# KCr5 | Alexandria | PBE | relaxed
data_KCr5
_cell_length_a 4.067
_cell_length_b 2.918
_cell_length_c 18.824
_cell_angle_alpha 90.00
_cell_angle_beta 90.00
_cell_angle_gamma 90.00
_space_group_name_H-M_alt 'A m m 2'
_space_group_IT_number 38
loop_
_space_group_symop_operation_xyz
'x,y,z'
'-x,-y,z'
'-x,y,z'
'x,-y,z'
'x,y+1/2,z+1/2'
'-x,-y+1/2,z+1/2'
'-x,y+1/2,z+1/2'
'x,-y+1/2,z+1/2'
loop_
_atom_site_label
_atom_site_fract_x
_atom_site_fract_y
_atom_site_fract_z
K1 0.000 0.000 0.000
Cr1 0.000 0.000 0.286
Cr2 0.000 0.000 0.675
Cr3 0.500 0.000 0.163
Cr4 0.500 0.000 0.357
Cr5 0.500 0.000 0.771
# D(E_F), states/eV per atom: 1.261
# Formation enthalpy at 0 K, kcal/mol of atoms: 18.22
# Distance to the lowest polymorph of the same formula, kcal/mol of atoms: 0.00

# LaNd2Dy3Se6 | Alexandria | PBE | relaxed
data_LaNd2Dy3Se6
_cell_length_a 7.136
_cell_length_b 12.423
_cell_length_c 7.324
_cell_angle_alpha 90.00
_cell_angle_beta 109.07
_cell_angle_gamma 90.00
_space_group_name_H-M_alt 'C 1 2/m 1'
_space_group_IT_number 12
loop_
_space_group_symop_operation_xyz
'x,y,z'
'-x,-y,-z'
'-x,y,-z'
'x,-y,z'
'x+1/2,y+1/2,z'
'-x+1/2,-y+1/2,-z'
'-x+1/2,y+1/2,-z'
'x+1/2,-y+1/2,z'
loop_
_atom_site_label
_atom_site_fract_x
_atom_site_fract_y
_atom_site_fract_z
La1 0.000 0.000 0.000
Nd1 0.000 0.332 0.000
Dy1 0.000 0.167 0.500
Dy2 0.000 0.500 0.500
Se1 0.243 0.333 0.734
Se2 0.247 0.000 0.735
# D(E_F), states/eV per atom: 0.484
# E_form (uncorrected), meV/atom: -1827.9

# TiB3S | Alexandria | PBE | relaxed
data_TiB3S
_cell_length_a 3.786
_cell_length_b 3.786
_cell_length_c 3.786
_cell_angle_alpha 90.00
_cell_angle_beta 90.00
_cell_angle_gamma 90.00
_space_group_name_H-M_alt 'P m -3 m'
_space_group_IT_number 221
_space_group_name_Hall '-P 4 2 3'
loop_
_atom_site_label
_atom_site_fract_x
_atom_site_fract_y
_atom_site_fract_z
Ti1 0.000 0.000 0.000
B1 0.000 0.500 0.500
S1 0.500 0.500 0.500
# D(E_F), states/eV per atom: 0.635
# E_form (uncorrected), meV/atom: 1347.2
# Distance to the lowest polymorph of the same formula, kcal/mol of atoms: 0.00

# TaTl2Rh | Alexandria | PBE | relaxed
data_TaTl2Rh
_cell_length_a 3.1621
_cell_length_b 3.1621
_cell_length_c 27.4882
_cell_angle_alpha 90.00
_cell_angle_beta 90.00
_cell_angle_gamma 120.00
_space_group_name_H-M_alt 'R -3 m'
_space_group_IT_number 166
_space_group_name_Hall '-R 3 2"'
loop_
_atom_site_label
_atom_site_fract_x
_atom_site_fract_y
_atom_site_fract_z
Ta1 0.0000 0.0000 0.0000
Tl1 0.0000 0.0000 0.2447
Rh1 0.0000 0.0000 0.5000
# D(E_F), states/eV per atom: 1.163
# Formation enthalpy at 0 K, kcal/mol of atoms: 10.27
# Distance to the lowest polymorph of the same formula, kcal/mol of atoms: 8.04

# SrPr2S4 | Alexandria | PBE | relaxed
data_SrPr2S4
_cell_length_a 11.754
_cell_length_b 4.211
_cell_length_c 14.878
_cell_angle_alpha 90.00
_cell_angle_beta 90.00
_cell_angle_gamma 90.00
_space_group_name_H-M_alt 'P n m a'
_space_group_IT_number 62
loop_
_space_group_symop_operation_xyz
'x,y,z'
'-x,-y,-z'
'-x+1/2,-y,z+1/2'
'x+1/2,y,-z+1/2'
'x+1/2,-y+1/2,-z+1/2'
'-x+1/2,y+1/2,z+1/2'
'-x,y+1/2,-z'
'x,-y+1/2,z'
loop_
_atom_site_label
_atom_site_fract_x
_atom_site_fract_y
_atom_site_fract_z
Sr1 0.235 0.250 0.159
Pr1 0.061 0.750 0.390
Pr2 0.106 0.750 0.900
S1 0.009 0.750 0.717
S2 0.064 0.750 0.088
S3 0.155 0.250 0.510
S4 0.227 0.250 0.807
# D(E_F), states/eV per atom: 0.000
# E_form (uncorrected), meV/atom: -2068.8
# Distance to the lowest polymorph of the same formula, kcal/mol of atoms: 0.39

# AgPb3 | Alexandria | PBE | relaxed
data_AgPb3
_cell_length_a 11.910
_cell_length_b 3.461
_cell_length_c 5.768
_cell_angle_alpha 90.00
_cell_angle_beta 108.80
_cell_angle_gamma 90.00
_space_group_name_H-M_alt 'C 1 2/m 1'
_space_group_IT_number 12
loop_
_space_group_symop_operation_xyz
'x,y,z'
'-x,-y,-z'
'-x,y,-z'
'x,-y,z'
'x+1/2,y+1/2,z'
'-x+1/2,-y+1/2,-z'
'-x+1/2,y+1/2,-z'
'x+1/2,-y+1/2,z'
loop_
_atom_site_label
_atom_site_fract_x
_atom_site_fract_y
_atom_site_fract_z
Ag1 0.000 0.000 0.000
Pb1 0.000 0.500 0.500
Pb2 0.224 0.500 0.228
# D(E_F), states/eV per atom: 0.508
# Formation enthalpy at 0 K, kcal/mol of atoms: 1.91

# Pr2ThMg | Alexandria | PBE | relaxed
data_Pr2ThMg
_cell_length_a 6.258
_cell_length_b 3.613
_cell_length_c 11.755
_cell_angle_alpha 90.00
_cell_angle_beta 100.32
_cell_angle_gamma 90.00
_space_group_name_H-M_alt 'C 1 m 1'
_space_group_IT_number 8
loop_
_space_group_symop_operation_xyz
'x,y,z'
'x,-y,z'
'x+1/2,y+1/2,z'
'x+1/2,-y+1/2,z'
loop_
_atom_site_label
_atom_site_fract_x
_atom_site_fract_y
_atom_site_fract_z
Pr1 0.000 0.000 0.000
Pr2 0.167 0.000 0.501
Th1 0.084 0.500 0.751
Mg1 0.417 0.000 0.250
# D(E_F), states/eV per atom: 1.131
# Formation enthalpy at 0 K, kcal/mol of atoms: 0.78
# Distance to the lowest polymorph of the same formula, kcal/mol of atoms: 1.79

# CsGa2Au2 | Alexandria | PBE | relaxed
data_CsGa2Au2
_cell_length_a 6.532
_cell_length_b 7.336
_cell_length_c 7.083
_cell_angle_alpha 90.00
_cell_angle_beta 112.72
_cell_angle_gamma 90.00
_space_group_name_H-M_alt 'C 1 2/m 1'
_space_group_IT_number 12
loop_
_space_group_symop_operation_xyz
'x,y,z'
'-x,-y,-z'
'-x,y,-z'
'x,-y,z'
'x+1/2,y+1/2,z'
'-x+1/2,-y+1/2,-z'
'-x+1/2,y+1/2,-z'
'x+1/2,-y+1/2,z'
loop_
_atom_site_label
_atom_site_fract_x
_atom_site_fract_y
_atom_site_fract_z
Cs1 0.000 0.000 0.000
Ga1 0.139 0.500 0.391
Au1 0.000 0.199 0.500
# D(E_F), states/eV per atom: 0.490
# Formation enthalpy at 0 K, kcal/mol of atoms: -5.91
# Distance to the lowest polymorph of the same formula, kcal/mol of atoms: 0.63

# Cs2PmSnI6 | Alexandria | PBE | relaxed
data_Cs2PmSnI6
_cell_length_a 10.196
_cell_length_b 12.381
_cell_length_c 8.582
_cell_angle_alpha 90.00
_cell_angle_beta 90.00
_cell_angle_gamma 90.00
_space_group_name_H-M_alt 'P m m n'
_space_group_IT_number 59
loop_
_space_group_symop_operation_xyz
'x,y,z'
'-x,-y,-z'
'-x+1/2,-y+1/2,z'
'x+1/2,y+1/2,-z'
'x+1/2,-y,-z'
'-x+1/2,y,z'
'-x,y+1/2,-z'
'x,-y+1/2,z'
loop_
_atom_site_label
_atom_site_fract_x
_atom_site_fract_y
_atom_site_fract_z
Cs1 0.250 0.001 0.176
Pm1 0.250 0.250 0.675
Sn1 0.250 0.750 0.599
I1 0.015 0.250 0.900
I2 0.060 0.250 0.386
I3 0.250 0.501 0.687
# E_form (uncorrected), meV/atom: -1146.2

# NiTe2Ru | Alexandria | PBE | relaxed
data_NiTe2Ru
_cell_length_a 3.280
_cell_length_b 3.280
_cell_length_c 6.753
_cell_angle_alpha 90.00
_cell_angle_beta 90.00
_cell_angle_gamma 90.00
_space_group_name_H-M_alt 'P 4/m m m'
_space_group_IT_number 123
_space_group_name_Hall '-P 4 2'
loop_
_atom_site_label
_atom_site_fract_x
_atom_site_fract_y
_atom_site_fract_z
Ni1 0.000 0.000 0.000
Te1 0.500 0.500 0.249
Ru1 0.000 0.000 0.500
# D(E_F), states/eV per atom: 0.960
# E_form (uncorrected), meV/atom: 279.1
# Distance to the lowest polymorph of the same formula, kcal/mol of atoms: 6.47

# Y4CuPt3 | Alexandria | PBE | relaxed
data_Y4CuPt3
_cell_length_a 3.771
_cell_length_b 4.504
_cell_length_c 10.553
_cell_angle_alpha 90.00
_cell_angle_beta 90.00
_cell_angle_gamma 90.00
_space_group_name_H-M_alt 'P m m 2'
_space_group_IT_number 25
loop_
_space_group_symop_operation_xyz
'x,y,z'
'-x,-y,z'
'-x,y,z'
'x,-y,z'
loop_
_atom_site_label
_atom_site_fract_x
_atom_site_fract_y
_atom_site_fract_z
Y1 0.000 0.000 0.000
Y2 0.000 0.500 0.275
Y3 0.500 0.000 0.494
Y4 0.500 0.500 0.774
Cu1 0.000 0.000 0.711
Pt1 0.000 0.500 0.560
Pt2 0.500 0.000 0.223
Pt3 0.500 0.500 0.046
# D(E_F), states/eV per atom: 0.753
# Formation enthalpy at 0 K, kcal/mol of atoms: -23.73

# CdSeCl2 | Alexandria | PBE | relaxed
data_CdSeCl2
_cell_length_a 13.917
_cell_length_b 3.798
_cell_length_c 4.344
_cell_angle_alpha 90.00
_cell_angle_beta 92.32
_cell_angle_gamma 90.00
_space_group_name_H-M_alt 'C 1 2/m 1'
_space_group_IT_number 12
loop_
_space_group_symop_operation_xyz
'x,y,z'
'-x,-y,-z'
'-x,y,-z'
'x,-y,z'
'x+1/2,y+1/2,z'
'-x+1/2,-y+1/2,-z'
'-x+1/2,y+1/2,-z'
'x+1/2,-y+1/2,z'
loop_
_atom_site_label
_atom_site_fract_x
_atom_site_fract_y
_atom_site_fract_z
Cd1 0.000 0.000 0.000
Se1 0.000 0.500 0.500
Cl1 0.150 0.500 0.205
# E_form (uncorrected), meV/atom: -398.4
# Distance to the lowest polymorph of the same formula, kcal/mol of atoms: 3.20

# GdHfNiOs | Alexandria | PBE | relaxed
data_GdHfNiOs
_cell_length_a 6.644
_cell_length_b 6.644
_cell_length_c 6.644
_cell_angle_alpha 90.00
_cell_angle_beta 90.00
_cell_angle_gamma 90.00
_space_group_name_H-M_alt 'F -4 3 m'
_space_group_IT_number 216
_space_group_name_Hall 'F -4 2 3'
loop_
_atom_site_label
_atom_site_fract_x
_atom_site_fract_y
_atom_site_fract_z
Gd1 0.000 0.000 0.000
Hf1 0.000 0.000 0.500
Ni1 0.250 0.250 0.250
Os1 0.250 0.250 0.750
# D(E_F), states/eV per atom: 0.459
# Formation enthalpy at 0 K, kcal/mol of atoms: -7.65

# LiAc2ZnHg6 | Alexandria | PBE | relaxed
data_LiAc2ZnHg6
_cell_length_a 7.081
_cell_length_b 7.082
_cell_length_c 7.097
_cell_angle_alpha 63.29
_cell_angle_beta 62.93
_cell_angle_gamma 63.01
_space_group_name_H-M_alt 'P -1'
_space_group_IT_number 2
loop_
_space_group_symop_operation_xyz
'x,y,z'
'-x,-y,-z'
loop_
_atom_site_label
_atom_site_fract_x
_atom_site_fract_y
_atom_site_fract_z
Li1 0.000 0.000 0.000
Ac1 0.294 0.296 0.293
Zn1 0.500 0.500 0.500
Hg1 0.167 0.325 0.824
Hg2 0.175 0.837 0.672
Hg3 0.325 0.825 0.167
# D(E_F), states/eV per atom: 0.489
# Formation enthalpy at 0 K, kcal/mol of atoms: -6.42

# TmHfTcAg | Alexandria | PBE | relaxed
data_TmHfTcAg
_cell_length_a 6.788
_cell_length_b 6.788
_cell_length_c 6.788
_cell_angle_alpha 90.00
_cell_angle_beta 90.00
_cell_angle_gamma 90.00
_space_group_name_H-M_alt 'F -4 3 m'
_space_group_IT_number 216
_space_group_name_Hall 'F -4 2 3'
loop_
_atom_site_label
_atom_site_fract_x
_atom_site_fract_y
_atom_site_fract_z
Tm1 0.000 0.000 0.000
Hf1 0.000 0.000 0.500
Tc1 0.250 0.250 0.750
Ag1 0.250 0.250 0.250
# D(E_F), states/eV per atom: 0.757
# Formation enthalpy at 0 K, kcal/mol of atoms: -4.27

# Be2PtC | Alexandria | PBE | relaxed
data_Be2PtC
_cell_length_a 3.843
_cell_length_b 3.843
_cell_length_c 11.360
_cell_angle_alpha 90.00
_cell_angle_beta 90.00
_cell_angle_gamma 90.00
_space_group_name_H-M_alt 'I -4 2 d'
_space_group_IT_number 122
_space_group_name_Hall 'I -4 2bw'
loop_
_atom_site_label
_atom_site_fract_x
_atom_site_fract_y
_atom_site_fract_z
Be1 0.111 0.250 0.125
Pt1 0.000 0.000 0.500
C1 0.000 0.000 0.000
# D(E_F), states/eV per atom: 0.236
# Formation enthalpy at 0 K, kcal/mol of atoms: 8.89

# LiBi3Rh2 | Alexandria | PBE | relaxed
data_LiBi3Rh2
_cell_length_a 6.7963
_cell_length_b 6.7963
_cell_length_c 6.9121
_cell_angle_alpha 90.00
_cell_angle_beta 90.00
_cell_angle_gamma 120.00
_space_group_name_H-M_alt 'P -3 m 1'
_space_group_IT_number 164
_space_group_name_Hall '-P 3 2"'
loop_
_atom_site_label
_atom_site_fract_x
_atom_site_fract_y
_atom_site_fract_z
Li1 0.3333 0.6667 0.2285
Bi1 0.1708 0.3416 0.7832
Rh1 0.0000 0.0000 0.5000
Rh2 0.0000 0.5000 0.5000
# D(E_F), states/eV per atom: 0.632
# Formation enthalpy at 0 K, kcal/mol of atoms: -1.78

# NdTaSe3 | Alexandria | PBE | relaxed
data_NdTaSe3
_cell_length_a 14.946
_cell_length_b 3.747
_cell_length_c 8.487
_cell_angle_alpha 90.00
_cell_angle_beta 92.96
_cell_angle_gamma 90.00
_space_group_name_H-M_alt 'C 1 2/m 1'
_space_group_IT_number 12
loop_
_space_group_symop_operation_xyz
'x,y,z'
'-x,-y,-z'
'-x,y,-z'
'x,-y,z'
'x+1/2,y+1/2,z'
'-x+1/2,-y+1/2,-z'
'-x+1/2,y+1/2,-z'
'x+1/2,-y+1/2,z'
loop_
_atom_site_label
_atom_site_fract_x
_atom_site_fract_y
_atom_site_fract_z
Nd1 0.103 0.000 0.395
Ta1 0.208 0.500 0.878
Se1 0.057 0.500 0.670
Se2 0.123 0.000 0.030
Se3 0.248 0.000 0.666
# D(E_F), states/eV per atom: 0.429
# E_form (uncorrected), meV/atom: -1277.3

# CrFeSe2 | Alexandria | PBE | relaxed
data_CrFeSe2
_cell_length_a 6.015
_cell_length_b 6.015
_cell_length_c 6.015
_cell_angle_alpha 90.00
_cell_angle_beta 90.00
_cell_angle_gamma 90.00
_space_group_name_H-M_alt 'F m -3 m'
_space_group_IT_number 225
_space_group_name_Hall '-F 4 2 3'
loop_
_atom_site_label
_atom_site_fract_x
_atom_site_fract_y
_atom_site_fract_z
Cr1 0.000 0.000 0.000
Fe1 0.000 0.000 0.500
Se1 0.250 0.250 0.250
# D(E_F), states/eV per atom: 1.014
# E_form (uncorrected), meV/atom: 281.0
# Distance to the lowest polymorph of the same formula, kcal/mol of atoms: 10.94

# Pm8Se3 | Alexandria | PBE | relaxed
data_Pm8Se3
_cell_length_a 13.856
_cell_length_b 3.904
_cell_length_c 13.002
_cell_angle_alpha 90.00
_cell_angle_beta 111.39
_cell_angle_gamma 90.00
_space_group_name_H-M_alt 'C 1 2/m 1'
_space_group_IT_number 12
loop_
_space_group_symop_operation_xyz
'x,y,z'
'-x,-y,-z'
'-x,y,-z'
'x,-y,z'
'x+1/2,y+1/2,z'
'-x+1/2,-y+1/2,-z'
'-x+1/2,y+1/2,-z'
'x+1/2,-y+1/2,z'
loop_
_atom_site_label
_atom_site_fract_x
_atom_site_fract_y
_atom_site_fract_z
Pm1 0.040 0.000 0.164
Pm2 0.130 0.000 0.448
Pm3 0.144 0.500 0.730
Pm4 0.160 0.500 0.023
Se1 0.000 0.500 0.500
Se2 0.210 0.500 0.317
# D(E_F), states/eV per atom: 0.971
# E_form (uncorrected), meV/atom: -893.6

Results for final energy: -7.41 -5.93 -5.06 -5.54 -6.03 -3.41 -4.61 -2.95 -3.12 -5.06 -7.04 -2.42 -10.59 -1.60 -7.10 -5.29 -4.79 -6.69 -5.98 -5.30 (in eV/atom, following the order of the records).